Record 1
VASP calculation (GGA-PBE) on an optimized crystal structure of Pm3Y2Tm2.

abc: 3.5831 11.8509 6.2044
angles: 69.75 73.16 98.65
Last column: nearest neighbours and their distance in Å.
Element x y z (fractional)
Pm 0.0000 0.0000 0.0000  4 Tm 3.57, 6 Y 3.57-3.59, 2 Pm 3.58
Pm 0.5727 0.4305 0.2858  5 Pm 3.54-3.58, 5 Tm 3.57-3.60, 2 Y 3.59-3.60
Pm 0.4273 0.5695 0.7142  5 Pm 3.54-3.58, 5 Tm 3.57-3.60, 2 Y 3.59-3.60
Tm 0.7130 0.2847 0.8583  7 Pm 3.57-3.60, 3 Y 3.57-3.58, 2 Tm 3.58
Tm 0.2870 0.7153 0.1417  7 Pm 3.57-3.60, 3 Y 3.57-3.58, 2 Tm 3.58
Y 0.1422 0.8569 0.5733  5 Pm 3.57-3.60, 3 Tm 3.57-3.58, 4 Y 3.58
Y 0.8578 0.1431 0.4267  5 Pm 3.57-3.60, 3 Tm 3.57-3.58, 4 Y 3.58

E_form (kJ/mol of formula units): 12
Total magnetization (μB per cell): 0.0

***

Record 2
VASP calculation (GGA-PBE) on an optimized crystal structure of CeNdIrBr.

abc: 4.1118 4.1117 8.2385
angles: 90.01 104.45 120.00
Last column: nearest neighbours and their distance in Å.
Element x y z (fractional)
Ce 0.0970 0.9464 0.0588  3 Ir 2.77
Ir 0.3098 0.5528 0.8780  3 Ce 2.77, 3 Nd 2.88
Nd 0.5055 0.1506 0.6716  3 Ir 2.88
Br 0.9656 0.3810 0.3613  3 Ce 3.37, 3 Nd 3.41

Formation energy from raw total energies (meV per atom): -1057
Total magnetization (μB per cell): 0.8

***

What did the first record say?
VASP calculation (GGA-PBE) on an optimized crystal structure of Pm3Y2Tm2.

abc: 3.5831 11.8509 6.2044
angles: 69.75 73.16 98.65
Last column: nearest neighbours and their distance in Å.
Element x y z (fractional)
Pm 0.0000 0.0000 0.0000  4 Tm 3.57, 6 Y 3.57-3.59, 2 Pm 3.58
Pm 0.5727 0.4305 0.2858  5 Pm 3.54-3.58, 5 Tm 3.57-3.60, 2 Y 3.59-3.60
Pm 0.4273 0.5695 0.7142  5 Pm 3.54-3.58, 5 Tm 3.57-3.60, 2 Y 3.59-3.60
Tm 0.7130 0.2847 0.8583  7 Pm 3.57-3.60, 3 Y 3.57-3.58, 2 Tm 3.58
Tm 0.2870 0.7153 0.1417  7 Pm 3.57-3.60, 3 Y 3.57-3.58, 2 Tm 3.58
Y 0.1422 0.8569 0.5733  5 Pm 3.57-3.60, 3 Tm 3.57-3.58, 4 Y 3.58
Y 0.8578 0.1431 0.4267  5 Pm 3.57-3.60, 3 Tm 3.57-3.58, 4 Y 3.58

E_form (kJ/mol of formula units): 12
Total magnetization (μB per cell): 0.0